# 1
## YTl2Pt (meta-GGA SCAN)

Data for YTl2Pt at its PBEsol-relaxed geometry.

Unit cell a=4.952 b=4.952 c=6.927 alpha=90.00 beta=90.00 gamma=90.00
Space group I4/mmm (No. 139)
Unique sites:
Y  0.000  0.000  0.000
Tl  0.000  0.500  0.250
Pt  0.000  0.000  0.500

Output
Volume, Å³/cell: 169.9
D(E_F), states/eV per cell: 4.23
Formation energy from the elements, eV per atom: -0.369

# 2
## Zr2ZnFe (meta-GGA SCAN)

Data for Zr2ZnFe at its PBEsol-relaxed geometry.

Unit cell a=3.201 b=3.201 c=6.499 alpha=90.00 beta=90.00 gamma=90.00
Space group P4/mmm (No. 123)
Unique sites:
Zr  0.000  0.000  0.234
Zn  0.500  0.500  0.500
Fe  0.500  0.500  0.000

Output
Volume, Å³/cell: 66.6
D(E_F), states/eV per cell: 2.72
Formation energy from the elements, eV per atom: -0.284

# 3
## BiAuBr6 (meta-GGA SCAN)

Data for BiAuBr6 at its PBEsol-relaxed geometry.

Unit cell a=7.647 b=10.424 c=14.570 alpha=104.07 beta=95.41 gamma=110.98
Space group P-1 (No. 2)
Unique sites:
Bi  0.023  0.187  0.129
Bi  0.408  0.575  0.379
Au  0.000  0.500  0.000
Au  0.301  0.134  0.766
Au  0.500  0.000  0.500
Br  0.024  0.446  0.274
Br  0.032  0.961  0.219
Br  0.221  0.779  0.479
Br  0.228  0.393  0.027
Br  0.251  0.702  0.971
Br  0.253  0.453  0.520
Br  0.259  0.065  0.025
Br  0.268  0.350  0.744
Br  0.296  0.132  0.493
Br  0.330  0.915  0.781
Br  0.368  0.766  0.249
Br  0.393  0.308  0.260

Output
Volume, Å³/cell: 1030.5
Raw formation energy, eV/atom: -0.443

# 4
## BiBr3 (meta-GGA SCAN)

Data for BiBr3 at its PBEsol-relaxed geometry.

Unit cell a=4.024 b=8.983 c=6.946 alpha=90.00 beta=106.60 gamma=90.00
Space group P2_1/m (No. 11)
Unique sites:
Bi  0.237  0.250  0.474
Br  0.149  0.565  0.296
Br  0.414  0.750  0.833

Output
Volume, Å³/cell: 240.6
D(E_F), states/eV per cell: 0.00
Raw formation energy, eV/atom: -0.640

# 5
## PRh (meta-GGA SCAN)

Data for PRh at its PBEsol-relaxed geometry.

Unit cell a=3.0056 b=3.0056 c=21.2758 alpha=90.00 beta=90.00 gamma=120.00
Space group R-3m (No. 166, hexagonal axes)
Unique sites:
P  0.0000  0.0000  0.1232
Rh  0.0000  0.0000  0.3879

Output
Volume, Å³/cell: 166.5
D(E_F), states/eV per cell: 9.27
Formation energy from the elements, eV per atom: -0.291

# 6
## YTaIr2 (meta-GGA SCAN)

Data for YTaIr2 at its PBEsol-relaxed geometry.

Unit cell a=3.086 b=3.086 c=7.434 alpha=90.00 beta=90.00 gamma=90.00
Space group P4/mmm (No. 123)
Unique sites:
Y  0.000  0.000  0.000
Ta  0.000  0.000  0.500
Ir  0.500  0.500  0.289

Output
Volume, Å³/cell: 70.8
D(E_F), states/eV per cell: 1.99
Formation energy from the elements, eV per atom: -0.823